Entry 1:
! Tb2NdSm PBE optimized geometry; values from VASP
&SYSTEM
  ibrav = 0, nat = 4, ntyp = 3
/
ATOMIC_SPECIES
Sm 150.36 Sm.upf
Tb 158.93 Tb.upf
Nd 144.24 Nd.upf
ATOMIC_POSITIONS crystal
Sm 0.000 0.000 0.000
Tb 0.250 0.250 0.250
Tb 0.750 0.750 0.750
Nd 0.500 0.500 0.500
CELL_PARAMETERS angstrom
5.738 0.000 0.000
2.869 4.970 0.000
2.869 1.657 4.685
! - E above lowest polymorph (meV per atom) = 120
! - magnetization (μB/cell) = 0.00
! - space-group type = No. 225
! - density of states at the Fermi level (states/eV per cell) = 8.93
! - ΔE_f (eV per atom) = 0.13

Entry 2:
! TbHf3 PBE optimized geometry; values from VASP
&SYSTEM
  ibrav = 0, nat = 4, ntyp = 2
/
ATOMIC_SPECIES
Tb 158.93 Tb.upf
Hf 178.49 Hf.upf
ATOMIC_POSITIONS crystal
Tb 0.000 0.000 0.000
Hf 0.500 0.000 0.500
Hf 0.000 0.500 0.500
Hf 0.500 0.500 0.000
CELL_PARAMETERS angstrom
4.586 0.000 0.000
0.000 4.586 0.000
0.000 0.000 4.586
! - E above lowest polymorph (meV per atom) = 91
! - magnetization (μB/cell) = 0.00
! - space-group type = No. 221
! - density of states at the Fermi level (states/eV per cell) = 4.86
! - ΔE_f (eV per atom) = 0.19

Entry 3:
! RbMoI2N PBE optimized geometry; values from VASP
&SYSTEM
  ibrav = 0, nat = 5, ntyp = 4
/
ATOMIC_SPECIES
I 126.90 I.upf
N 14.01 N.upf
Rb 85.47 Rb.upf
Mo 95.94 Mo.upf
ATOMIC_POSITIONS crystal
I 0.000 0.500 0.000
I 0.500 0.000 0.000
N 0.000 0.000 0.500
Rb 0.000 0.000 0.000
Mo 0.500 0.500 0.500
CELL_PARAMETERS angstrom
6.722 0.000 0.000
0.000 6.722 0.000
0.000 0.000 5.281
! - ΔE_f (raw) (eV/f.u.) = 7.9
! - E above lowest polymorph (meV per atom) = 1843
! - magnetization (μB/cell) = 7.64
! - space-group type = No. 123
! - density of states at the Fermi level (states/eV per cell) = 4.77

Entry 4:
! Al3InPd4 PBE optimized geometry; values from VASP
&SYSTEM
  ibrav = 0, nat = 8, ntyp = 3
/
ATOMIC_SPECIES
Pd 106.42 Pd.upf
In 114.82 In.upf
Al 26.98 Al.upf
ATOMIC_POSITIONS crystal
Pd 0.871 0.871 0.388
Pd 0.129 0.129 0.612
Pd 0.615 0.615 0.156
Pd 0.385 0.385 0.844
In 0.000 0.000 0.000
Al 0.247 0.247 0.259
Al 0.753 0.753 0.741
Al 0.500 0.500 0.500
CELL_PARAMETERS angstrom
4.206 0.000 1.242
1.920 3.743 1.242
-0.041 -0.025 7.884
! - magnetization (μB/cell) = 0.00
! - space-group type = No. 166
! - density of states at the Fermi level (states/eV per cell) = 3.71
! - ΔE_f (eV per atom) = -0.75